Computed, not measured: CrO2 after structural relaxation at the GGA+U level of DFT.

abc: 9.934 9.934 3.007
angles: 90.00 90.00 90.00
Space group I4/m (No. 87)
Symmetry-distinct sites (fractional):
Cr 0.157 0.340 0.000 x8
O 0.034 0.664 0.000 x8
O 0.160 0.211 0.500 x8

Output
VASP energy (eV/cell): -176.48
DOS(E_F) (states/eV/f.u.): 0.53